Below is crystalline PuTlCdIn at its relaxed geometry, with properties calculated at the GGA-PBE level.

Cell and atoms, written as CIF:
```
data_PuTlCdIn
_chemical_formula_sum 'Pu1 Tl1 Cd1 In1'
_space_group_name_H-M_alt 'P 1'
_space_group_IT_number 1
_cell_length_a 4.867
_cell_length_b 4.403
_cell_length_c 4.883
_cell_angle_alpha 90.00
_cell_angle_beta 90.00
_cell_angle_gamma 90.00
loop_
_space_group_symop_operation_xyz
'x,y,z'
loop_
_atom_site_label
_atom_site_type_symbol
_atom_site_fract_x
_atom_site_fract_y
_atom_site_fract_z
_atom_site_occupancy
Pu1 Pu 0.500 0.000 0.500 1
In1 In 0.500 0.500 0.000 1
Tl1 Tl 0.000 0.500 0.500 1
Cd1 Cd 0.000 0.000 0.000 1
```

The density is 10.72 g/cm³. The energy above the most stable polymorph in this dataset comes out at 0.00 kcal/mol of atoms. For the spin magnetization, the calculation gives 1.474 μB per atom. As for the volume: 26.160 Å³/atom.

Below is crystalline PuZnCdIn at its relaxed geometry, with properties calculated at the GGA-PBE level.

Cell and atoms, written as CIF:
```
data_PuZnCdIn
_chemical_formula_sum 'Pu1 Zn1 Cd1 In1'
_space_group_name_H-M_alt 'P 1'
_space_group_IT_number 1
_cell_length_a 5.044
_cell_length_b 5.044
_cell_length_c 5.044
_cell_angle_alpha 60.00
_cell_angle_beta 60.00
_cell_angle_gamma 60.00
loop_
_space_group_symop_operation_xyz
'x,y,z'
loop_
_atom_site_label
_atom_site_type_symbol
_atom_site_fract_x
_atom_site_fract_y
_atom_site_fract_z
_atom_site_occupancy
Zn1 Zn 0.250 0.250 0.250 1
Cd1 Cd 0.750 0.750 0.750 1
Pu1 Pu 0.000 0.000 0.000 1
In1 In 0.500 0.500 0.500 1
```

The total energy is -19.57 eV for the cell shown. The density is 9.82 g/cm³. For the spin magnetization, the calculation gives 1.384 μB per atom. As for the volume: 22.690 Å³/atom.

Below is crystalline PuZrCdIn at its relaxed geometry, with properties calculated at the GGA-PBE level.

Cell and atoms, written as CIF:
```
data_PuZrCdIn
_chemical_formula_sum 'Pu1 Zr1 Cd1 In1'
_space_group_name_H-M_alt 'P 1'
_space_group_IT_number 1
_cell_length_a 5.186
_cell_length_b 5.186
_cell_length_c 5.186
_cell_angle_alpha 60.00
_cell_angle_beta 60.00
_cell_angle_gamma 60.00
loop_
_space_group_symop_operation_xyz
'x,y,z'
loop_
_atom_site_label
_atom_site_type_symbol
_atom_site_fract_x
_atom_site_fract_y
_atom_site_fract_z
_atom_site_occupancy
In1 In 0.750 0.750 0.750 1
Pu1 Pu 0.500 0.500 0.500 1
Cd1 Cd 0.250 0.250 0.250 1
Zr1 Zr 0.000 0.000 0.000 1
```

The total energy is -26.59 eV for the cell shown. The density is 9.47 g/cm³. For the spin magnetization, the calculation gives 1.669 μB per atom. As for the volume: 24.660 Å³/atom.

Below is crystalline RbCd3In5 at its relaxed geometry, with properties calculated at the GGA-PBE level.

Cell and atoms, written as CIF:
```
data_RbCd3In5
_chemical_formula_sum 'Rb2 Cd6 In10'
_space_group_name_H-M_alt 'P 1'
_space_group_IT_number 1
_cell_length_a 4.793
_cell_length_b 7.864
_cell_length_c 15.563
_cell_angle_alpha 90.00
_cell_angle_beta 90.00
_cell_angle_gamma 107.75
loop_
_space_group_symop_operation_xyz
'x,y,z'
loop_
_atom_site_label
_atom_site_type_symbol
_atom_site_fract_x
_atom_site_fract_y
_atom_site_fract_z
_atom_site_occupancy
In1 In 0.000 0.000 0.500 1
In2 In 0.814 0.629 0.082 1
Cd1 Cd 0.099 0.198 0.750 1
In3 In 0.000 0.000 0.000 1
In4 In 0.186 0.371 0.918 1
Rb1 Rb 0.825 0.650 0.750 1
In5 In 0.463 0.927 0.352 1
In6 In 0.463 0.927 0.148 1
Cd2 Cd 0.628 0.255 0.461 1
Rb2 Rb 0.175 0.350 0.250 1
Cd3 Cd 0.628 0.255 0.039 1
In7 In 0.537 0.073 0.852 1
In8 In 0.814 0.629 0.418 1
In9 In 0.186 0.371 0.582 1
In10 In 0.537 0.073 0.648 1
Cd4 Cd 0.372 0.745 0.961 1
Cd5 Cd 0.901 0.802 0.250 1
Cd6 Cd 0.372 0.745 0.539 1
```

The total energy is -35.24 eV for the cell shown. The density is 5.92 g/cm³. For the spin magnetization, the calculation gives 0.000 μB per atom. As for the volume: 31.041 Å³/atom.